Below is NbTlP2 after structural relaxation, with properties calculated at the PBE-GGA level.

a = 4.6993 Å, b = 4.6993 Å, c = 4.6993 Å
α = 60.00°, β = 60.00°, γ = 60.00°
Fractional coordinates of all 4 atoms:
Nb  0.0000  0.0000  0.0000
Tl  0.5000  0.5000  0.5000
P  0.2500  0.2500  0.2500
P  0.7500  0.7500  0.7500

Computed properties:
**Symmetry**: Fm-3m (225)
**Density of states at the Fermi level**: 4.11 states/eV/f.u.
**VASP energy**: -5.39 eV/atom
**Density**: 8.1 g/cm3
**Size of the total moment**: 0.9 μB/f.u.